1.
VASP calculation (GGA-PBE) on a relaxed structure of Pr12Ga6Os.

a = 8.6842 Å, b = 8.6842 Å, c = 8.6842 Å
α = 99.19°, β = 99.19°, γ = 99.19°
With the nearest neighbours (Å) after each atom.
Atoms (fractional coordinates):
Pr 0.4293 0.5682 0.1852  4 Ga 3.04-3.17
Pr 0.5707 0.4318 0.8148  4 Ga 3.04-3.17
Pr 0.4318 0.8148 0.5707  4 Ga 3.04-3.17
Pr 0.6794 0.9395 0.0235  1 Os 2.80, 1 Ga 3.09
Pr 0.0605 0.9765 0.3206  1 Os 2.80, 1 Ga 3.09
Pr 0.8148 0.5707 0.4318  4 Ga 3.04-3.17
Pr 0.1852 0.4293 0.5682  4 Ga 3.04-3.17
Pr 0.9395 0.0235 0.6794  1 Os 2.80, 1 Ga 3.09
Pr 0.9765 0.3206 0.0605  1 Os 2.80, 1 Ga 3.09
Pr 0.5682 0.1852 0.4293  4 Ga 3.04-3.17
Pr 0.0235 0.6794 0.9395  1 Os 2.80, 1 Ga 3.09
Pr 0.3206 0.0605 0.9765  1 Os 2.80, 1 Ga 3.09
Ga 0.8669 0.3618 0.6938  7 Pr 3.04-3.27
Ga 0.1331 0.6382 0.3062  7 Pr 3.04-3.27
Ga 0.3618 0.6938 0.8669  7 Pr 3.04-3.27
Ga 0.6382 0.3062 0.1331  7 Pr 3.04-3.27
Ga 0.6938 0.8669 0.3618  7 Pr 3.04-3.27
Ga 0.3062 0.1331 0.6382  7 Pr 3.04-3.27
Os 0.0000 0.0000 0.0000  6 Pr 2.80

Calculated values
ΔE_f   -0.17 eV per atom
VASP energy   -4.738 eV per atom

***

2.
VASP calculation (GGA-PBE) on a relaxed structure of Pm3Ho2Er6Tm.

a = 6.1407 Å, b = 6.1407 Å, c = 11.7124 Å
α = 95.01°, β = 95.01°, γ = 119.97°
With the nearest neighbours (Å) after each atom.
Atoms (fractional coordinates):
Er 0.9180 0.5849 0.7537  1 Tm 3.50, 2 Ho 3.50, 6 Er 3.54-3.55, 3 Pm 3.57
Er 0.4151 0.0820 0.2463  1 Tm 3.50, 2 Ho 3.50, 6 Er 3.54-3.55, 3 Pm 3.57
Er 0.5849 0.9180 0.7537  1 Tm 3.50, 2 Ho 3.50, 6 Er 3.54-3.55, 3 Pm 3.57
Er 0.0820 0.4151 0.2463  1 Tm 3.50, 2 Ho 3.50, 6 Er 3.54-3.55, 3 Pm 3.57
Er 0.2511 0.2511 0.7536  1 Tm 3.50, 2 Ho 3.50, 6 Er 3.54-3.55, 3 Pm 3.57
Er 0.7489 0.7489 0.2464  1 Tm 3.50, 2 Ho 3.50, 6 Er 3.54-3.55, 3 Pm 3.57
Tm 0.0000 0.0000 0.0000  6 Er 3.50, 6 Ho 3.55
Pm 0.8333 0.1667 0.5000  6 Pm 3.54-3.55, 6 Er 3.57
Pm 0.5000 0.5000 0.5000  6 Pm 3.54-3.55, 6 Er 3.57
Pm 0.1667 0.8333 0.5000  6 Pm 3.54-3.55, 6 Er 3.57
Ho 0.3334 0.6666 0.0000  6 Er 3.50, 3 Ho 3.54-3.55, 3 Tm 3.55
Ho 0.6666 0.3334 0.0000  6 Er 3.50, 3 Ho 3.54-3.55, 3 Tm 3.55

Calculated values
ΔE_f   0.02 eV per atom
VASP energy   -4.584 eV per atom

***

3.
VASP calculation (GGA-PBE) on a relaxed structure of Re2OsRh.

a = 4.7165 Å, b = 4.7165 Å, c = 4.7165 Å
α = 131.07°, β = 131.07°, γ = 71.70°
With the nearest neighbours (Å) after each atom.
Atoms (fractional coordinates):
Re 0.2500 0.7500 0.5000  4 Re 2.73, 4 Rh 2.73, 4 Os 2.76
Re 0.5000 0.5000 0.0000  4 Re 2.73, 4 Os 2.73, 4 Rh 2.76
Os 0.7500 0.2500 0.5000  8 Re 2.73-2.76, 4 Rh 2.73
Rh 0.0000 0.0000 0.0000  8 Re 2.73-2.76, 4 Os 2.73

Calculated values
ΔE_f   0.00 eV per atom
VASP energy   -10.869 eV per atom

***

4.
VASP calculation (GGA-PBE) on a relaxed structure of Ce6CuHg5.

a = 5.6488 Å, b = 6.6449 Å, c = 10.1960 Å
α = 70.98°, β = 58.46°, γ = 90.00°
With the nearest neighbours (Å) after each atom.
Atoms (fractional coordinates):
Hg 0.3270 0.8230 0.3540  8 Ce 3.19-3.32, 3 Hg 3.29-3.33, 1 Cu 3.43
Hg 0.3419 0.3357 0.3286  4 Hg 3.29-3.33, 8 Ce 3.33-3.39
Hg 0.6581 0.6643 0.6714  4 Hg 3.29-3.33, 8 Ce 3.33-3.39
Hg 0.0000 0.5000 0.0000  8 Ce 3.23-3.41, 2 Hg 3.29, 2 Cu 3.32
Hg 0.6730 0.1770 0.6460  8 Ce 3.19-3.32, 3 Hg 3.29-3.33, 1 Cu 3.43
Ce 0.5001 0.2133 0.0000  3 Ce 2.83-3.17, 2 Cu 3.16
Ce 0.8613 0.6190 0.3128  2 Ce 2.98-3.17, 1 Cu 3.05, 5 Hg 3.19-3.33
Ce 0.1386 0.9319 0.6873  2 Ce 2.98-3.17, 1 Cu 3.05, 5 Hg 3.19-3.33
Ce 0.1387 0.3810 0.6872  2 Ce 2.98-3.17, 1 Cu 3.05, 5 Hg 3.19-3.33
Ce 0.4999 0.7867 0.0000  3 Ce 2.83-3.17, 2 Cu 3.16
Ce 0.8614 0.0681 0.3127  2 Ce 2.98-3.17, 1 Cu 3.05, 5 Hg 3.19-3.33
Cu 0.0000 0.0000 0.0000  8 Ce 3.05-3.16, 2 Hg 3.32

Calculated values
ΔE_f   -0.25 eV per atom
VASP energy   -3.683 eV per atom

***

5.
VASP calculation (GGA-PBE) on a relaxed structure of CuNi2.

a = 2.4869 Å, b = 4.8285 Å, c = 6.0038 Å
α = 74.87°, β = 90.00°, γ = 75.08°
With the nearest neighbours (Å) after each atom.
Atoms (fractional coordinates):
Ni 0.6115 0.7771 0.7185  7 Ni 2.49-2.52, 5 Cu 2.51-2.54
Ni 0.2743 0.4514 0.0575  8 Ni 2.49-2.52, 4 Cu 2.49-2.55
Ni 0.9454 0.1092 0.3862  9 Ni 2.49-2.53, 3 Cu 2.50-2.53
Ni 0.6678 0.6644 0.3356  8 Ni 2.49-2.53, 4 Cu 2.50-2.52
Cu 0.3344 0.3311 0.6675  4 Cu 2.49-2.51, 8 Ni 2.50-2.55
Cu 0.0000 0.0001 0.0014  4 Cu 2.49-2.51, 8 Ni 2.49-2.55

Calculated values
ΔE_f   0.04 eV per atom
VASP energy   -5.179 eV per atom

***

6.
VASP calculation (GGA-PBE) on a relaxed structure of CsPbSCl2.

a = 5.7201 Å, b = 5.7201 Å, c = 5.1262 Å
α = 90.00°, β = 90.00°, γ = 90.00°
With the nearest neighbours (Å) after each atom.
Atoms (fractional coordinates):
Cl 0.5000 0.0000 0.0000  2 Pb 2.86
Cl 0.0000 0.5000 0.0000  2 Pb 2.86
Cs 0.5000 0.5000 0.5000  8 Cl 3.84, 4 S 4.04
S 0.0000 0.0000 0.5000  2 Pb 2.56
Pb 0.0000 0.0000 0.0000  2 S 2.56, 4 Cl 2.86

Calculated values
E_form (uncorrected)   -101 kJ per mole of atoms
VASP energy   -3.526 eV per atom

***

7.
VASP calculation (GGA-PBE) on a relaxed structure of Si3Se.

a = 5.1767 Å, b = 5.1767 Å, c = 5.1767 Å
α = 90.00°, β = 90.00°, γ = 90.00°
With the nearest neighbours (Å) after each atom.
Atoms (fractional coordinates):
Si 0.0000 0.7500 0.5000  2 Si 2.59, 4 Se 2.89
Si 0.5000 0.0000 0.2500  2 Si 2.59, 4 Se 2.89
Si 0.7500 0.5000 0.0000  2 Si 2.59, 4 Se 2.89
Si 0.2500 0.5000 0.0000  2 Si 2.59, 4 Se 2.89
Si 0.0000 0.2500 0.5000  2 Si 2.59, 4 Se 2.89
Si 0.5000 0.0000 0.7500  2 Si 2.59, 4 Se 2.89
Se 0.0000 0.0000 0.0000  12 Si 2.89
Se 0.5000 0.5000 0.5000  12 Si 2.89

Calculated values
E_form (uncorrected)   72 kJ per mole of atoms
VASP energy   -4.196 eV per atom

***

8.
VASP calculation (GGA-PBE) on a relaxed structure of Cs3Ac2PmO6.

a = 6.6415 Å, b = 6.6415 Å, c = 7.3276 Å
α = 98.64°, β = 98.64°, γ = 120.03°
With the nearest neighbours (Å) after each atom.
Atoms (fractional coordinates):
O 0.3769 0.0573 0.1718  1 Pm 2.44, 2 Ac 2.56
O 0.0573 0.3769 0.1718  1 Pm 2.44, 2 Ac 2.56
O 0.2624 0.2624 0.8275  1 Pm 2.44, 2 Ac 2.56
O 0.6231 0.9427 0.8282  1 Pm 2.44, 2 Ac 2.56
O 0.7376 0.7376 0.1725  1 Pm 2.44, 2 Ac 2.56
O 0.9427 0.6231 0.8282  1 Pm 2.44, 2 Ac 2.56
Ac 0.6667 0.3333 0.0000  6 O 2.56
Ac 0.3333 0.6667 0.0000  6 O 2.56
Cs 0.5000 0.5000 0.5000  6 O 3.16-3.24
Cs 0.8357 0.1643 0.5000  6 O 3.14-3.27
Cs 0.1643 0.8357 0.5000  6 O 3.14-3.27
Pm 0.0000 0.0000 0.0000  6 O 2.44

Calculated values
E_form (uncorrected)   -242 kJ per mole of atoms
VASP energy   -6.280 eV per atom

***

9.
VASP calculation (GGA-PBE) on a relaxed structure of PrDy2Tl4.

a = 6.5704 Å, b = 6.5704 Å, c = 6.5704 Å
α = 112.91°, β = 107.78°, γ = 107.78°
With the nearest neighbours (Å) after each atom.
Atoms (fractional coordinates):
Tl 0.5000 0.5000 0.5000  4 Dy 3.29, 2 Pr 3.29, 2 Tl 3.63
Tl 0.0000 0.0000 0.5000  4 Dy 3.29, 2 Pr 3.29, 2 Tl 3.63
Tl 0.0000 0.5000 0.0000  2 Pr 3.29, 4 Dy 3.29, 2 Tl 3.63
Tl 0.5000 0.0000 0.0000  4 Dy 3.29, 2 Pr 3.29, 2 Tl 3.63
Dy 0.5000 0.5000 0.0000  8 Tl 3.29, 2 Dy 3.63
Dy 0.5000 0.0000 0.5000  8 Tl 3.29, 2 Dy 3.63
Pr 0.0000 0.0000 0.0000  8 Tl 3.29

Calculated values
ΔE_f   -0.22 eV per atom
VASP energy   -3.569 eV per atom

***

10.
VASP calculation (GGA-PBE) on a relaxed structure of RbSi.

a = 13.1674 Å, b = 13.1674 Å, c = 13.1674 Å
α = 90.00°, β = 90.00°, γ = 90.00°
With the nearest neighbours (Å) after each atom.
Atoms (fractional coordinates):
Rb 0.8372 0.4340 0.3600  6 Si 3.45-3.82, 1 Rb 3.81
Rb 0.6400 0.1628 0.4340  6 Si 3.45-3.82, 1 Rb 3.81
Rb 0.1400 0.0660 0.3372  6 Si 3.45-3.82, 1 Rb 3.81
Rb 0.6628 0.8600 0.0660  6 Si 3.45-3.82, 1 Rb 3.81
Rb 0.6400 0.8372 0.5660  6 Si 3.45-3.82, 1 Rb 3.81
Rb 0.6628 0.1400 0.9340  6 Si 3.45-3.82, 1 Rb 3.81
Rb 0.1628 0.5660 0.3600  6 Si 3.45-3.82, 1 Rb 3.81
Rb 0.3372 0.1400 0.0660  6 Si 3.45-3.82, 1 Rb 3.81
Rb 0.8600 0.0660 0.6628  6 Si 3.45-3.82, 1 Rb 3.81
Rb 0.4340 0.3600 0.8372  6 Si 3.45-3.82, 1 Rb 3.81
Rb 0.9340 0.6628 0.1400  6 Si 3.45-3.82, 1 Rb 3.81
Rb 0.8372 0.5660 0.6400  6 Si 3.45-3.82, 1 Rb 3.81
Rb 0.4340 0.6400 0.1628  6 Si 3.45-3.82, 1 Rb 3.81
Rb 0.3600 0.1628 0.5660  6 Si 3.45-3.82, 1 Rb 3.81
Rb 0.3338 0.3338 0.3338  6 Si 3.58-3.82, 3 Rb 3.81
Rb 0.8338 0.1662 0.1662  6 Si 3.58-3.82, 3 Rb 3.81
Rb 0.5660 0.6400 0.8372  6 Si 3.45-3.82, 1 Rb 3.81
Rb 0.1400 0.9340 0.6628  6 Si 3.45-3.82, 1 Rb 3.81
Rb 0.5660 0.3600 0.1628  6 Si 3.45-3.82, 1 Rb 3.81
Rb 0.1662 0.8338 0.1662  6 Si 3.58-3.82, 3 Rb 3.81
Rb 0.0660 0.3372 0.1400  6 Si 3.45-3.82, 1 Rb 3.81
Rb 0.3600 0.8372 0.4340  6 Si 3.45-3.82, 1 Rb 3.81
Rb 0.8600 0.9340 0.3372  6 Si 3.45-3.82, 1 Rb 3.81
Rb 0.1628 0.4340 0.6400  6 Si 3.45-3.82, 1 Rb 3.81
Rb 0.0660 0.6628 0.8600  6 Si 3.45-3.82, 1 Rb 3.81
Rb 0.1662 0.1662 0.8338  6 Si 3.58-3.82, 3 Rb 3.81
Rb 0.9340 0.3372 0.8600  6 Si 3.45-3.82, 1 Rb 3.81
Rb 0.8338 0.8338 0.8338  6 Si 3.58-3.82, 3 Rb 3.81
Rb 0.3372 0.8600 0.9340  6 Si 3.45-3.82, 1 Rb 3.81
Rb 0.6662 0.6662 0.3338  6 Si 3.58-3.82, 3 Rb 3.81
Rb 0.6662 0.3338 0.6662  6 Si 3.58-3.82, 3 Rb 3.81
Rb 0.3338 0.6662 0.6662  6 Si 3.58-3.82, 3 Rb 3.81
Si 0.5603 0.9291 0.8146  3 Si 2.43-2.45
Si 0.1854 0.4397 0.9291  3 Si 2.43-2.45
Si 0.9291 0.1854 0.4397  3 Si 2.43-2.45
Si 0.9346 0.9346 0.0654  3 Si 2.44
Si 0.5654 0.4346 0.4346  3 Si 2.44
Si 0.5709 0.0603 0.6854  3 Si 2.43-2.45
Si 0.8146 0.5603 0.9291  3 Si 2.43-2.45
Si 0.9397 0.6854 0.4291  3 Si 2.43-2.45
Si 0.6854 0.4291 0.9397  3 Si 2.43-2.45
Si 0.5709 0.9397 0.3146  3 Si 2.43-2.45
Si 0.0654 0.9346 0.9346  3 Si 2.44
Si 0.0603 0.3146 0.4291  3 Si 2.43-2.45
Si 0.6854 0.5709 0.0603  3 Si 2.43-2.45
Si 0.4346 0.4346 0.5654  3 Si 2.44
Si 0.4346 0.5654 0.4346  3 Si 2.44
Si 0.4291 0.0603 0.3146  3 Si 2.43-2.45
Si 0.9346 0.0654 0.9346  3 Si 2.44
Si 0.9291 0.8146 0.5603  3 Si 2.43-2.45
Si 0.0709 0.1854 0.5603  3 Si 2.43-2.45
Si 0.1854 0.5603 0.0709  3 Si 2.43-2.45
Si 0.3146 0.4291 0.0603  3 Si 2.43-2.45
Si 0.0603 0.6854 0.5709  3 Si 2.43-2.45
Si 0.5654 0.5654 0.5654  3 Si 2.44
Si 0.4397 0.9291 0.1854  3 Si 2.43-2.45
Si 0.0654 0.0654 0.0654  3 Si 2.44
Si 0.5603 0.0709 0.1854  3 Si 2.43-2.45
Si 0.4397 0.0709 0.8146  3 Si 2.43-2.45
Si 0.0709 0.8146 0.4397  3 Si 2.43-2.45
Si 0.4291 0.9397 0.6854  3 Si 2.43-2.45
Si 0.8146 0.4397 0.0709  3 Si 2.43-2.45
Si 0.9397 0.3146 0.5709  3 Si 2.43-2.45
Si 0.3146 0.5709 0.9397  3 Si 2.43-2.45

Calculated values
E_form (uncorrected)   -5 kJ per mole of atoms
VASP energy   -3.244 eV per atom